Entry 1:
SrCd2Pd2 | GGA-PBEsol | optimized geometry

```
SrCd2Pd2
1.0
4.283 0.000 0.000
0.000 4.283 0.000
0.000 0.000 12.013
Sr Cd Pd
2 4 4
Direct
0.000 0.000 0.000
0.500 0.500 0.500
0.000 0.500 0.250
0.000 0.500 0.750
0.500 0.000 0.250
0.500 0.000 0.750
0.000 0.000 0.392
0.000 0.000 0.608
0.500 0.500 0.108
0.500 0.500 0.892
```

Results
formation energy = -212.0 kJ/mol of formula units

Entry 2:
TiSi3Ge | GGA-PBEsol | optimized geometry

```
TiSi3Ge
1.0
4.657 0.000 0.000
0.000 4.657 0.000
0.000 0.000 4.657
Ti Si Ge
1 3 1
Direct
0.000 0.000 0.000
0.000 0.500 0.500
0.500 0.000 0.500
0.500 0.500 0.000
0.500 0.500 0.500
```

Results
ΔE_f (raw) = 1.087 eV per atom

Let's list VASP energy in order: -18.35, -25.07 eV per formula unit.